Record 1
## ZrTaZn (GGA-PBEsol)

Data for crystalline ZrTaZn at its relaxed geometry.

Cell and atoms, written as CIF:
```
data_ZrTaZn
_chemical_formula_sum 'Zr4 Ta4 Zn4'
_cell_length_a 6.422
_cell_length_b 6.422
_cell_length_c 6.422
_cell_angle_alpha 90.00
_cell_angle_beta 90.00
_cell_angle_gamma 90.00
_space_group_name_H-M_alt 'F -4 3 m'
_space_group_IT_number 216
_space_group_name_Hall 'F -4 2 3'
loop_
_atom_site_label
_atom_site_type_symbol
_atom_site_fract_x
_atom_site_fract_y
_atom_site_fract_z
Zr1 Zr 0.000 0.000 0.000
Ta1 Ta 0.250 0.250 0.250
Zn1 Zn 0.250 0.250 0.750
```

The calculation puts the total energy at -78.14 eV for the cell shown. The value obtained for the volume is 265 Å³ per cell. The calculation puts the formation energy from the elements at 118.6 kJ/mol of atoms.

=====

Record 2
## ZrTaZn (GGA-PBEsol)

Data for crystalline ZrTaZn at its relaxed geometry.

Cell and atoms, written as CIF:
```
data_ZrTaZn
_chemical_formula_sum 'Zr1 Ta1 Zn1'
_cell_length_a 4.8316
_cell_length_b 4.8316
_cell_length_c 2.6495
_cell_angle_alpha 90.00
_cell_angle_beta 90.00
_cell_angle_gamma 120.00
_space_group_name_H-M_alt 'P 3 m 1'
_space_group_IT_number 156
_space_group_name_Hall 'P 3 -2"'
loop_
_atom_site_label
_atom_site_type_symbol
_atom_site_fract_x
_atom_site_fract_y
_atom_site_fract_z
Zr1 Zr 0.0000 0.0000 0.0000
Ta1 Ta 0.3333 0.6667 0.5728
Zn1 Zn 0.6667 0.3333 0.3602
```

The calculation puts the total energy at -22.71 eV for the cell shown. The value obtained for the volume is 54 Å³ per cell. The calculation puts the formation energy from the elements at 16.4 kJ/mol of atoms.

=====

Record 3
## ZrTaZn (GGA-PBEsol)

Data for crystalline ZrTaZn at its relaxed geometry.

Cell and atoms, written as CIF:
```
data_ZrTaZn
_chemical_formula_sum 'Zr2 Ta2 Zn2'
_cell_length_a 3.051
_cell_length_b 3.733
_cell_length_c 9.379
_cell_angle_alpha 90.00
_cell_angle_beta 90.00
_cell_angle_gamma 90.00
_space_group_name_H-M_alt 'I m m 2'
_space_group_IT_number 44
_space_group_name_Hall 'I 2 -2'
loop_
_atom_site_label
_atom_site_type_symbol
_atom_site_fract_x
_atom_site_fract_y
_atom_site_fract_z
Zr1 Zr 0.000 0.000 0.000
Ta1 Ta 0.000 0.000 0.321
Zn1 Zn 0.000 0.000 0.672
```

The calculation puts the total energy at -46.51 eV for the cell shown. The value obtained for the volume is 107 Å³ per cell. The calculation puts the formation energy from the elements at -1.0 kJ/mol of atoms.

=====

- The highest formation energy from the elements belongs to which entry?
  number 1

=====

What did the first record say?
## ZrTaZn (GGA-PBEsol)

Data for crystalline ZrTaZn at its relaxed geometry.

Cell and atoms, written as CIF:
```
data_ZrTaZn
_chemical_formula_sum 'Zr4 Ta4 Zn4'
_cell_length_a 6.422
_cell_length_b 6.422
_cell_length_c 6.422
_cell_angle_alpha 90.00
_cell_angle_beta 90.00
_cell_angle_gamma 90.00
_space_group_name_H-M_alt 'F -4 3 m'
_space_group_IT_number 216
_space_group_name_Hall 'F -4 2 3'
loop_
_atom_site_label
_atom_site_type_symbol
_atom_site_fract_x
_atom_site_fract_y
_atom_site_fract_z
Zr1 Zr 0.000 0.000 0.000
Ta1 Ta 0.250 0.250 0.250
Zn1 Zn 0.250 0.250 0.750
```

The calculation puts the total energy at -78.14 eV for the cell shown. The value obtained for the volume is 265 Å³ per cell. The calculation puts the formation energy from the elements at 118.6 kJ/mol of atoms.

=====

Please write out number 1 again, unchanged.
## ZrTaZn (GGA-PBEsol)

Data for crystalline ZrTaZn at its relaxed geometry.

Cell and atoms, written as CIF:
```
data_ZrTaZn
_chemical_formula_sum 'Zr4 Ta4 Zn4'
_cell_length_a 6.422
_cell_length_b 6.422
_cell_length_c 6.422
_cell_angle_alpha 90.00
_cell_angle_beta 90.00
_cell_angle_gamma 90.00
_space_group_name_H-M_alt 'F -4 3 m'
_space_group_IT_number 216
_space_group_name_Hall 'F -4 2 3'
loop_
_atom_site_label
_atom_site_type_symbol
_atom_site_fract_x
_atom_site_fract_y
_atom_site_fract_z
Zr1 Zr 0.000 0.000 0.000
Ta1 Ta 0.250 0.250 0.250
Zn1 Zn 0.250 0.250 0.750
```

The calculation puts the total energy at -78.14 eV for the cell shown. The value obtained for the volume is 265 Å³ per cell. The calculation puts the formation energy from the elements at 118.6 kJ/mol of atoms.

=====

- Among the records above, which one has the highest formation energy from the elements?
  number 1